Record 1
Here is a relaxed structure of TcPtCl2 from Alexandria. Energies are from PBE.

CIF file:
```
data_TcPtCl2
_chemical_formula_sum 'Tc2 Pt2 Cl4'
_symmetry_space_group_name_H-M 'C 1 2/m 1'
_symmetry_Int_Tables_number 12
_symmetry_space_group_name_Hall '-C 2y'
_cell_length_a 12.419
_cell_length_b 3.000
_cell_length_c 4.809
_cell_angle_alpha 90.00
_cell_angle_beta 96.99
_cell_angle_gamma 90.00
loop_
_atom_site_label
_atom_site_type_symbol
_atom_site_fract_x
_atom_site_fract_y
_atom_site_fract_z
Tc1 Tc 0.000 0.000 0.000
Pt1 Pt 0.000 0.500 0.500
Cl1 Cl 0.138 0.500 0.207
```

Record 2
Here is a relaxed structure of TcPtCl from Alexandria. Energies are from PBE.

CIF file:
```
data_TcPtCl
_chemical_formula_sum 'Tc1 Pt1 Cl1'
_symmetry_space_group_name_H-M 'P 3 m 1'
_symmetry_Int_Tables_number 156
_symmetry_space_group_name_Hall 'P 3 -2"'
_cell_length_a 2.9127
_cell_length_b 2.9127
_cell_length_c 6.7095
_cell_angle_alpha 90.00
_cell_angle_beta 90.00
_cell_angle_gamma 120.00
loop_
_atom_site_label
_atom_site_type_symbol
_atom_site_fract_x
_atom_site_fract_y
_atom_site_fract_z
Tc1 Tc 0.0000 0.0000 0.0000
Pt1 Pt 0.3333 0.6667 0.6884
Cl1 Cl 0.6667 0.3333 0.2711
```

Values of raw formation energy, in order: 0.133, 0.185, all in eV per atom.
Values of total energy, in order: -4.892, -5.900, all in eV per atom.